Entry from Alexandria: a geometry-optimized YVZnSe2 structure (PBE).

Unit cell a=5.0000 b=5.0000 c=4.6554 alpha=90.00 beta=90.00 gamma=90.00
Fractional positions:
1 Y 0.0000 0.0000 0.0000
2 V 0.5000 0.5000 0.0000
3 Zn 0.5000 0.5000 0.5000
4 Se 0.0000 0.5000 0.5000
5 Se 0.5000 0.0000 0.5000

Calculated values
Electronic total energy   -23.175 eV per cell
Total magnetization   4.1 μB/f.u.

=====

Entry from Alexandria: a geometry-optimized BeBi2Pt structure (PBE).

Unit cell a=7.3207 b=7.3207 c=7.3207 alpha=131.01 beta=131.01 gamma=71.79
Fractional positions:
1 Be 0.0000 0.0000 0.0000
2 Be 0.7500 0.2500 0.5000
3 Bi 0.0987 0.6250 0.9737
4 Bi 0.3750 0.3487 0.4737
5 Bi 0.6513 0.1250 0.0263
6 Bi 0.8750 0.9013 0.5263
7 Pt 0.2500 0.7500 0.5000
8 Pt 0.5000 0.5000 0.0000

Calculated values
Electronic total energy   -32.350 eV per cell
DFT formation energy   1.35 eV per formula unit
Total magnetization   0.0 μB/f.u.

=====

Entry from Alexandria: a geometry-optimized SrMg3 structure (PBE).

Unit cell a=10.3559 b=10.3559 c=10.3559 alpha=152.24 beta=152.24 gamma=39.66
Fractional positions:
1 Sr 0.1268 0.1268 0.0000
2 Sr 0.8732 0.8732 0.0000
3 Mg 0.0000 0.5000 0.5000
4 Mg 0.2500 0.7500 0.5000
5 Mg 0.3698 0.3698 0.0000
6 Mg 0.5000 0.0000 0.5000
7 Mg 0.6302 0.6302 0.0000
8 Mg 0.7500 0.2500 0.5000

Calculated values
Electronic total energy   -12.729 eV per cell
DFT formation energy   0.10 eV per formula unit
Total magnetization   0.0 μB/f.u.

=====

Entry from Alexandria: a geometry-optimized PrY5Pd2 structure (PBE).

Unit cell a=6.7679 b=6.7679 c=18.2432 alpha=90.00 beta=90.00 gamma=146.65
Fractional positions:
1 Pr 0.1505 0.8495 0.7500
2 Pr 0.8495 0.1505 0.2500
3 Y 0.1138 0.8862 0.2500
4 Y 0.1556 0.8444 0.5439
5 Y 0.1556 0.8444 0.9561
6 Y 0.4460 0.5540 0.6011
7 Y 0.4460 0.5540 0.8989
8 Y 0.5540 0.4460 0.1011
9 Y 0.5540 0.4460 0.3989
10 Y 0.8444 0.1556 0.0439
11 Y 0.8444 0.1556 0.4561
12 Y 0.8862 0.1138 0.7500
13 Pd 0.2404 0.7596 0.1259
14 Pd 0.2404 0.7596 0.3741
15 Pd 0.7596 0.2404 0.6259
16 Pd 0.7596 0.2404 0.8741

Calculated values
Electronic total energy   -100.769 eV per cell
DFT formation energy   -2.90 eV per formula unit
Total magnetization   0.0 μB/f.u.

=====

Entry from Alexandria: a geometry-optimized Zr2TcRu structure (PBE).

Unit cell a=4.6475 b=4.6475 c=3.2775 alpha=90.00 beta=90.00 gamma=90.00
Fractional positions:
1 Zr 0.0000 0.5000 0.0000
2 Zr 0.5000 0.0000 0.0000
3 Tc 0.0000 0.0000 0.5000
4 Ru 0.5000 0.5000 0.5000

Calculated values
Electronic total energy   -38.855 eV per cell
DFT formation energy   -2.12 eV per formula unit
Total magnetization   0.0 μB/f.u.

=====

Entry from Alexandria: a geometry-optimized NaPuH2 structure (PBE).

Unit cell a=6.6466 b=6.6466 c=6.6466 alpha=28.21 beta=28.21 gamma=28.21
Fractional positions:
1 Na 0.0000 0.0000 0.0000
2 Pu 0.8290 0.8290 0.8290
3 H 0.2430 0.2430 0.2430
4 H 0.4156 0.4156 0.4156

Calculated values
Electronic total energy   -22.703 eV per cell
Total magnetization   5.8 μB/f.u.

=====

Entry from Alexandria: a geometry-optimized Pr2DySb structure (PBE).

Unit cell a=5.5583 b=5.5583 c=5.5583 alpha=60.00 beta=60.00 gamma=60.00
Fractional positions:
1 Pr 0.2500 0.2500 0.2500
2 Pr 0.7500 0.7500 0.7500
3 Dy 0.0000 0.0000 0.0000
4 Sb 0.5000 0.5000 0.5000

Calculated values
Electronic total energy   -19.510 eV per cell
Total magnetization   0.0 μB/f.u.

=====

Entry from Alexandria: a geometry-optimized Rb4LaHo3Se8 structure (PBE).

Unit cell a=9.4052 b=9.4052 c=9.4052 alpha=54.25 beta=54.25 gamma=54.25
Fractional positions:
1 Rb 0.0000 0.0000 0.0000
2 Rb 0.0000 0.5000 0.5000
3 Rb 0.5000 0.0000 0.5000
4 Rb 0.5000 0.5000 0.0000
5 La 0.5000 0.5000 0.5000
6 Ho 0.0000 0.0000 0.5000
7 Ho 0.0000 0.5000 0.0000
8 Ho 0.5000 0.0000 0.0000
9 Se 0.2211 0.7380 0.7380
10 Se 0.2312 0.2312 0.2312
11 Se 0.2620 0.2620 0.7789
12 Se 0.2620 0.7789 0.2620
13 Se 0.7380 0.2211 0.7380
14 Se 0.7380 0.7380 0.2211
15 Se 0.7688 0.7688 0.7688
16 Se 0.7789 0.2620 0.2620

Calculated values
Electronic total energy   -78.388 eV per cell
Total magnetization   0.0 μB/f.u.

=====

- Which of these has the highest electronic total energy?
  SrMg3